(1)
Entry from Alexandria: a geometry-optimized Pr8NdEr2 structure (PBE).

Calculated values
**Symmetry**: Immm
**Formation energy from the elements**: 1.2 eV/f.u.
**Excess energy over the best structure of this formula in the dataset**: 0.0 meV/atom

Cell lengths 9.5661, 9.5661, 9.5661 Å; angles 145.05, 127.85, 64.33 degrees
With the nearest neighbours (Å) after each atom.
Fractional positions:
Pr (0.1579, 0.3615, 0.7964)  1 Nd 3.35, 4 Pr 3.42-3.64, 3 Er 3.49-3.61
Pr (0.1631, 0.1631, 0.0000)  8 Pr 3.62-3.82, 2 Er 3.63, 2 Nd 3.90
Pr (0.2946, 0.0000, 0.2946)  7 Pr 3.45-3.64, 2 Er 3.67, 2 Nd 3.79
Pr (0.4349, 0.6385, 0.7964)  1 Nd 3.35, 4 Pr 3.42-3.64, 3 Er 3.49-3.61
Pr (0.5651, 0.3615, 0.2036)  1 Nd 3.35, 4 Pr 3.42-3.64, 3 Er 3.49-3.61
Pr (0.7054, 0.0000, 0.7054)  7 Pr 3.45-3.64, 2 Er 3.67, 2 Nd 3.79
Pr (0.8369, 0.8369, 0.0000)  8 Pr 3.62-3.82, 2 Er 3.63, 2 Nd 3.90
Pr (0.8421, 0.6385, 0.2036)  1 Nd 3.35, 4 Pr 3.42-3.64, 3 Er 3.49-3.61
Nd (0.0000, 0.5000, 0.5000)  4 Pr 3.35
Er (0.3000, 0.8000, 0.5000)  10 Pr 3.49-3.67
Er (0.7000, 0.2000, 0.5000)  10 Pr 3.49-3.67

***

(2)
Entry from Alexandria: a geometry-optimized CsPrMgO3 structure (PBE).

Calculated values
**Symmetry**: P2_1/m
**Calculated total energy**: -6.141 eV per atom

Cell lengths 8.3109, 3.7365, 8.7671 Å; angles 90.00, 106.48, 90.00 degrees
With the nearest neighbours (Å) after each atom.
Fractional positions:
Cs (0.1937, 0.2500, 0.2080)  5 O 3.13-3.37
Cs (0.8063, 0.7500, 0.7920)  5 O 3.13-3.37
Pr (0.3441, 0.7500, 0.8532)  5 O 2.33-2.45
Pr (0.6559, 0.2500, 0.1468)  5 O 2.33-2.45
Mg (0.0823, 0.2500, 0.6069)  4 O 1.96-2.02
Mg (0.9177, 0.7500, 0.3931)  4 O 1.96-2.02
O (0.1441, 0.7500, 0.5558)  3 Mg 2.01-2.02
O (0.1542, 0.2500, 0.8400)  1 Mg 1.96
O (0.4610, 0.7500, 0.1288)  3 Pr 2.33-2.45
O (0.5390, 0.2500, 0.8712)  3 Pr 2.33-2.45
O (0.8458, 0.7500, 0.1600)  1 Mg 1.96
O (0.8559, 0.2500, 0.4442)  3 Mg 2.01-2.02

***

(3)
Entry from Alexandria: a geometry-optimized TcNiSe2Br structure (PBE).

Calculated values
**Symmetry**: P4/mmm
**Excess energy over the best structure of this formula in the dataset**: 11.6 meV/atom

Cell lengths 4.7650, 4.7650, 4.8015 Å; angles 90.00, 90.00, 90.00 degrees
With the nearest neighbours (Å) after each atom.
Fractional positions:
Tc (0.0000, 0.0000, 0.0000)  4 Br 3.37, 8 Se 3.38
Ni (0.5000, 0.5000, 0.5000)  4 Se 2.38, 2 Br 2.40
Se (0.0000, 0.5000, 0.5000)  2 Ni 2.38
Se (0.5000, 0.0000, 0.5000)  2 Ni 2.38
Br (0.5000, 0.5000, 0.0000)  2 Ni 2.40

***

(4)
Entry from Alexandria: a geometry-optimized K2BaFe structure (PBE).

Calculated values
**Symmetry**: Imm2
**Formation energy from the elements**: 2.9 eV/f.u.
**Excess energy over the best structure of this formula in the dataset**: 117.8 meV/atom

Cell lengths 8.2076, 8.2076, 8.2076 Å; angles 150.74, 131.54, 57.61 degrees
With the nearest neighbours (Å) after each atom.
Fractional positions:
K (0.0000, 0.0000, 0.0000)  4 Fe 3.96, 4 K 4.15-4.23, 2 Ba 4.25
K (0.6778, 0.1778, 0.5000)  2 Fe 3.46
Ba (0.3201, 0.8201, 0.5000)  2 Fe 3.16
Fe (0.4856, 0.4856, 0.0000)  2 Ba 3.16, 2 K 3.46

***

(5)
Entry from Alexandria: a geometry-optimized PrGdMg structure (PBE).

Calculated values
**Symmetry**: P3m1
**Formation energy from the elements**: 0.1 eV/f.u.
**Excess energy over the best structure of this formula in the dataset**: 89.0 meV/atom

Cell lengths 5.5405, 5.5405, 3.4592 Å; angles 90.00, 90.00, 120.00 degrees
With the nearest neighbours (Å) after each atom.
Fractional positions:
Pr (0.0000, 0.0000, 0.0000)  3 Mg 3.37, 2 Pr 3.46, 6 Gd 3.52-3.77
Gd (0.6667, 0.3333, 0.5776)  3 Mg 3.33, 2 Gd 3.46, 3 Pr 3.52
Mg (0.3333, 0.6667, 0.3087)  3 Gd 3.33, 3 Pr 3.37, 2 Mg 3.46

***

Number 1: size of the total moment 0.000 μB/f.u.. Number 2: size of the total moment 0.000 μB/f.u.. Number 3: size of the total moment 4.329 μB/f.u.. Number 4: size of the total moment 2.447 μB/f.u.. Number 5: size of the total moment 7.419 μB/f.u..